*one*
# EuGaAs2

Crystalline EuGaAs2 at its relaxed geometry (PBE-GGA, Alexandria via LeMat-Bulk).

The structure in POSCAR format:
```
EuGaAs2
1.0
-3.8022 -1.0566 1.6556
1.3804 -4.2395 0.4644
1.5255 0.9466 4.1075
Ga As Eu
1 2 1
direct
0.5000 0.5000 0.5000
0.0000 0.5000 0.0000
0.0000 0.0000 0.5000
0.5000 0.0000 0.0000
```

Summary:
As for the volume: 86.0 Å³/f.u. The density of states at the Fermi level comes out at 2.2 states/eV per cell. The magnetic moment is 6.74 μB per formula unit.

---

*two*
# EuGaAs2

Crystalline EuGaAs2 at its relaxed geometry (PBE-GGA, Alexandria via LeMat-Bulk).

The structure in POSCAR format:
```
EuGaAs2
1.0
4.0578 0.0000 0.0000
2.0289 3.5142 0.0000
2.0289 1.1714 6.6438
Ga As Eu
1 2 1
direct
0.0000 0.0000 0.0000
0.7371 0.7371 0.7888
0.2629 0.2629 0.2112
0.5000 0.5000 0.5000
```

Summary:
As for the volume: 94.7 Å³/f.u. The density of states at the Fermi level comes out at 6.9 states/eV per cell. The magnetic moment is 6.55 μB per formula unit.

---

What should be chosen as the least stable of them? Choose *two*.

---

*one*
# EuInAs2

Crystalline EuInAs2 at its relaxed geometry (PBE-GGA, Alexandria via LeMat-Bulk).

The structure in POSCAR format:
```
EuInAs2
1.0
3.9988 0.0000 0.0000
0.0000 4.8062 0.0000
0.0000 0.0000 4.8062
In As Eu
1 2 1
direct
0.5000 0.0000 0.0000
0.0000 0.0000 0.5000
0.0000 0.5000 0.0000
0.5000 0.5000 0.5000
```

Summary:
As for the volume: 92.4 Å³/f.u. The density of states at the Fermi level comes out at 2.6 states/eV per cell. The magnetic moment is 6.63 μB per formula unit.

---

*two*
# EuInAs2

Crystalline EuInAs2 at its relaxed geometry (PBE-GGA, Alexandria via LeMat-Bulk).

The structure in POSCAR format:
```
EuInAs2
1.0
4.2400 0.0000 0.0000
2.1200 3.6720 0.0000
2.1200 1.2240 6.5923
As In Eu
2 1 1
direct
0.2562 0.2562 0.2314
0.7438 0.7438 0.7686
0.0000 0.0000 0.0000
0.5000 0.5000 0.5000
```

Summary:
As for the volume: 102.6 Å³/f.u. The density of states at the Fermi level comes out at 5.8 states/eV per cell. The magnetic moment is 6.44 μB per formula unit.

---

What should be chosen as the least stable of them? Choose *two*.